Ca2NiPb: optimized geometry, PBE.

abc: 7.154 7.154 7.154
angles: 90.00 90.00 90.00
Space group F-43m (No. 216)
Unique sites:
Ca 0.000 0.000 0.000
Ca 0.250 0.250 0.250
Ni 0.000 0.000 0.500
Pb 0.250 0.250 0.750

SrGa2Ge2: optimized geometry, PBE.

abc: 10.028 4.322 10.900
angles: 90.00 90.00 90.00
Space group Pnma (No. 62)
Unique sites:
Sr 0.249 0.250 0.176
Ga 0.048 0.250 0.870
Ga 0.109 0.250 0.453
Ge 0.032 0.750 0.347
Ge 0.137 0.750 0.962

Respective E values: -3.49 -3.74 eV per atom.